## TmSc3Ag (PBE-GGA)

Data for an optimized crystal structure of TmSc3Ag.

Unit cell a=6.3742 b=8.6437 c=8.9783 alpha=90.00 beta=90.00 gamma=90.00
Last column: nearest neighbours and their distance in Å.
Sites, in units of the cell vectors:
Sc1 0.2381 0.0174 0.7500  2 Ag 2.80, 2 Sc 3.11
Sc2 0.7381 0.4826 0.7500  2 Ag 2.80, 2 Sc 3.11
Sc3 0.3928 0.3282 0.9451  2 Ag 2.95-2.96, 2 Sc 3.11-3.30
Sc4 0.6072 0.6718 0.4451  2 Ag 2.95-2.96, 2 Sc 3.11-3.30
Sc5 0.2619 0.5174 0.2500  2 Ag 2.80, 2 Sc 3.11
Sc6 0.3928 0.3282 0.5549  2 Ag 2.95-2.96, 2 Sc 3.11-3.30
Sc7 0.1072 0.8282 0.0549  2 Ag 2.95-2.96, 2 Sc 3.11-3.30
Sc8 0.7619 0.9826 0.2500  2 Ag 2.80, 2 Sc 3.11
Sc9 0.8928 0.1718 0.5549  2 Ag 2.95-2.96, 2 Sc 3.11-3.30
Sc10 0.8928 0.1718 0.9451  2 Ag 2.95-2.96, 2 Sc 3.11-3.30
Sc11 0.1072 0.8282 0.4451  2 Ag 2.95-2.96, 2 Sc 3.11-3.30
Sc12 0.6072 0.6718 0.0549  2 Ag 2.95-2.96, 2 Sc 3.11-3.30
Tm1 0.2715 0.6433 0.7500  2 Ag 3.09, 6 Sc 3.24-3.34
Tm2 0.7285 0.3567 0.2500  2 Ag 3.09, 6 Sc 3.24-3.34
Tm3 0.7715 0.8567 0.7500  2 Ag 3.09, 6 Sc 3.24-3.34
Tm4 0.2285 0.1433 0.2500  2 Ag 3.09, 6 Sc 3.24-3.34
Ag1 0.5000 0.0000 0.5000  6 Sc 2.80-2.96, 2 Tm 3.09
Ag2 0.0000 0.5000 0.0000  6 Sc 2.80-2.96, 2 Tm 3.09
Ag3 0.5000 0.0000 0.0000  6 Sc 2.80-2.96, 2 Tm 3.09
Ag4 0.0000 0.5000 0.5000  6 Sc 2.80-2.96, 2 Tm 3.09

Results
formation energy from the elements = -0.008 eV per atom
distance to the lowest polymorph of the same formula = 75 meV per atom
total magnetization = 0.000 μB per atom
electronic total energy = -5.2714 eV/atom
space group = Pnma (62)



## TmScAg (PBE-GGA)

Data for an optimized crystal structure of TmScAg.

Unit cell a=5.0089 b=6.1825 c=6.0456 alpha=120.07 beta=114.47 gamma=90.00
Last column: nearest neighbours and their distance in Å.
Sites, in units of the cell vectors:
Ag1 0.8485 0.7814 0.6969  3 Sc 2.91-2.96, 1 Ag 2.92, 4 Tm 2.96-3.24
Ag2 0.1515 0.2186 0.3031  3 Sc 2.91-2.96, 1 Ag 2.92, 4 Tm 2.96-3.24
Tm1 0.1699 0.7594 0.3398  4 Ag 2.96-3.24
Tm2 0.8301 0.2406 0.6602  4 Ag 2.96-3.24
Sc1 0.4488 0.6935 0.8975  3 Ag 2.91-2.96, 1 Sc 3.16
Sc2 0.5512 0.3065 0.1025  3 Ag 2.91-2.96, 1 Sc 3.16

Results
formation energy from the elements = -0.130 eV per atom
distance to the lowest polymorph of the same formula = 29 meV per atom
total magnetization = 0.000 μB per atom
electronic total energy = -4.6813 eV/atom
space group = C2/m (12)



## TmSc3Ag2 (PBE-GGA)

Data for an optimized crystal structure of TmSc3Ag2.

Unit cell a=5.0082 b=6.9729 c=8.7961 alpha=113.35 beta=106.54 gamma=90.00
Last column: nearest neighbours and their distance in Å.
Sites, in units of the cell vectors:
Sc1 0.5000 0.7500 0.0000  4 Ag 2.95, 4 Tm 3.05
Sc2 0.1800 0.9300 0.3600  6 Ag 3.07-3.08, 2 Tm 3.27, 2 Sc 3.30
Sc3 0.5000 0.2500 0.0000  4 Ag 2.95, 4 Tm 3.05
Sc4 0.8200 0.5700 0.6400  6 Ag 3.07-3.08, 2 Tm 3.27, 2 Sc 3.30
Sc5 0.8200 0.0700 0.6400  6 Ag 3.07-3.08, 2 Tm 3.27, 2 Sc 3.30
Sc6 0.1800 0.4300 0.3600  6 Ag 3.07-3.08, 2 Tm 3.27, 2 Sc 3.30
Tm1 0.0000 0.0000 0.0000  8 Sc 3.05-3.27
Tm2 0.0000 0.5000 0.0000  8 Sc 3.05-3.27
Ag1 0.3446 0.8447 0.6895  8 Sc 2.95-3.08
Ag2 0.3449 0.3447 0.6895  8 Sc 2.95-3.08
Ag3 0.6554 0.1553 0.3105  8 Sc 2.95-3.08
Ag4 0.6551 0.6553 0.3105  8 Sc 2.95-3.08

Results
formation energy from the elements = -0.058 eV per atom
distance to the lowest polymorph of the same formula = 132 meV per atom
total magnetization = 0.000 μB per atom
electronic total energy = -4.9199 eV/atom
space group = Cmmm (65)



## Tm2ScAg3 (PBE-GGA)

Data for an optimized crystal structure of Tm2ScAg3.

Unit cell a=3.5173 b=3.5173 c=10.7209 alpha=90.00 beta=90.00 gamma=90.00
Last column: nearest neighbours and their distance in Å.
Sites, in units of the cell vectors:
Ag1 0.0000 0.0000 0.6541  4 Sc 2.99, 4 Tm 3.11, 1 Ag 3.30
Ag2 0.0000 0.0000 0.0000  8 Tm 3.09
Ag3 0.0000 0.0000 0.3459  4 Sc 2.99, 4 Tm 3.11, 1 Ag 3.30
Tm1 0.5000 0.5000 0.8286  8 Ag 3.09-3.11
Tm2 0.5000 0.5000 0.1714  8 Ag 3.09-3.11
Sc1 0.5000 0.5000 0.5000  8 Ag 2.99

Results
formation energy from the elements = -0.316 eV per atom
distance to the lowest polymorph of the same formula = 0 meV per atom
total magnetization = 0.000 μB per atom
electronic total energy = -4.2871 eV/atom
space group = P4/mmm (123)



## Tm4ScAg2 (PBE-GGA)

Data for an optimized crystal structure of Tm4ScAg2.

Unit cell a=5.2592 b=5.2592 c=8.7348 alpha=72.48 beta=72.48 gamma=60.00
Last column: nearest neighbours and their distance in Å.
Sites, in units of the cell vectors:
Tm1 0.2726 0.2726 0.1823  4 Ag 2.90-3.04
Tm2 0.8718 0.8718 0.3846  3 Sc 3.18, 4 Tm 3.46-3.55, 3 Ag 3.50
Tm3 0.7274 0.7274 0.8177  4 Ag 2.90-3.04
Tm4 0.1282 0.1282 0.6154  3 Sc 3.18, 4 Tm 3.46-3.55, 3 Ag 3.50
Ag1 0.6096 0.6096 0.1712  1 Sc 2.69, 1 Tm 2.90
Ag2 0.3904 0.3904 0.8288  1 Sc 2.69, 1 Tm 2.90
Sc1 0.5000 0.5000 0.5000  2 Ag 2.69

Results
formation energy from the elements = 0.098 eV per atom
total magnetization = 0.000 μB per atom
electronic total energy = -4.1764 eV/atom
space group = R-3m (166)



## Tm2ScAg3 (PBE-GGA)

Data for an optimized crystal structure of Tm2ScAg3.

Unit cell a=5.0093 b=5.0093 c=12.2613 alpha=90.00 beta=90.00 gamma=120.00
Last column: nearest neighbours and their distance in Å.
Sites, in units of the cell vectors:
Ag1 0.0000 0.0000 0.7462  5 Tm 3.02-3.11, 3 Sc 3.06
Ag2 0.6667 0.3333 0.0871  1 Sc 3.03, 7 Tm 3.07-3.16
Ag3 0.6667 0.3333 0.5815  4 Sc 3.03-3.07, 4 Tm 3.04-3.06
Ag4 0.3333 0.6667 0.9129  1 Sc 3.03, 7 Tm 3.07-3.16
Ag5 0.3333 0.6667 0.4185  4 Sc 3.03-3.07, 4 Tm 3.04-3.06
Ag6 0.0000 0.0000 0.2538  5 Tm 3.02-3.11, 3 Sc 3.06
Tm1 0.0000 0.0000 0.5000  8 Ag 3.02-3.06
Tm2 0.6667 0.3333 0.8294  8 Ag 3.04-3.16
Tm3 0.0000 0.0000 0.0000  8 Ag 3.08-3.11
Tm4 0.3333 0.6667 0.1706  8 Ag 3.04-3.16
Sc1 0.6667 0.3333 0.3346  8 Ag 3.03-3.07
Sc2 0.3333 0.6667 0.6654  8 Ag 3.03-3.07

Results
formation energy from the elements = -0.308 eV per atom
distance to the lowest polymorph of the same formula = 7 meV per atom
total magnetization = 0.000 μB per atom
electronic total energy = -4.2798 eV/atom
space group = P-3m1 (164)